Compound: NdGe3Pt5
Source: Alexandria via LeMat-Bulk
Functional: GGA-PBE
Structure: relaxed

a b c (Å): 3.8409 6.7646 13.4984
angles (deg): 90.00 90.00 106.49
With the nearest neighbours (Å) after each atom.
Fractional coordinates of all 18 atoms:
1 Nd 0.8385 0.6770 0.7500  8 Pt 3.33-3.40, 7 Ge 3.40-3.64
2 Nd 0.1615 0.3230 0.2500  8 Pt 3.33-3.40, 7 Ge 3.40-3.64
3 Ge 0.3713 0.7425 0.9712  6 Pt 2.40-2.68
4 Ge 0.8996 0.7992 0.2500  6 Pt 2.48-2.56
5 Ge 0.3713 0.7425 0.5288  6 Pt 2.40-2.68
6 Ge 0.6287 0.2575 0.4712  6 Pt 2.40-2.68
7 Ge 0.1004 0.2008 0.7500  6 Pt 2.48-2.56
8 Ge 0.6287 0.2575 0.0288  6 Pt 2.40-2.68
9 Pt 0.8019 0.6037 0.4080  4 Ge 2.40-2.68
10 Pt 0.1981 0.3963 0.9080  4 Ge 2.40-2.68
11 Pt 0.0000 0.0000 0.5000  4 Ge 2.57, 6 Pt 2.81-2.85
12 Pt 0.0000 0.0000 0.0000  4 Ge 2.57, 6 Pt 2.81-2.85
13 Pt 0.4796 0.9592 0.1504  4 Ge 2.54-2.80, 3 Pt 2.69-2.81
14 Pt 0.5204 0.0408 0.8496  4 Ge 2.54-2.80, 3 Pt 2.69-2.81
15 Pt 0.5204 0.0408 0.6504  4 Ge 2.54-2.80, 3 Pt 2.69-2.81
16 Pt 0.8019 0.6037 0.0920  4 Ge 2.40-2.68
17 Pt 0.1981 0.3963 0.5920  4 Ge 2.40-2.68
18 Pt 0.4796 0.9592 0.3496  4 Ge 2.54-2.80, 3 Pt 2.69-2.81

Values from the calculation:
Fermi-level density of states	6.070	states/eV/cell
space group	No. 63
calculated total energy	-6.07	eV per atom
formation enthalpy at 0 K	-5.79	eV/f.u.